YSiAs3: single point on PBEsol structure, SCAN.

Cell lengths 4.748, 4.748, 4.748 Å; angles 90.00, 90.00, 90.00 degrees
Sites, in units of the cell vectors:
Y  0.500  0.500  0.500
As  0.000  0.500  0.000
As  0.000  0.000  0.500
As  0.500  0.000  0.000
Si  0.000  0.000  0.000

Uncorrected formation energy (eV/atom): -0.01